No. 1
The following is a DFT calculation (PBE) of Na2Tm2PuO6 after structural relaxation.

Output
symmetry: C2/m
uncorrected energy: -87.0 eV/cell
E_form (uncorrected): -2.8504 eV per atom

abc: 5.9096 5.9096 5.9374
angles: 99.29 99.29 120.11
Atoms (fractional coordinates):
Na1 0.1715 0.8285 0.0000
Na2 0.8285 0.1715 0.0000
Tm1 0.3346 0.6654 0.5000
Tm2 0.6654 0.3346 0.5000
Pu1 0.0000 0.0000 0.5000
O1 0.0534 0.3962 0.6974
O2 0.2557 0.2557 0.3053
O3 0.3962 0.0534 0.6974
O4 0.6038 0.9466 0.3026
O5 0.7443 0.7443 0.6947
O6 0.9466 0.6038 0.3026

No. 2
The following is a DFT calculation (PBE) of Mg3PaGa4 after structural relaxation.

Output
symmetry: P4/mmm
uncorrected energy: -27.8 eV/cell
DFT formation energy: -174.7 meV/atom

abc: 4.7820 4.7820 6.9681
angles: 90.00 90.00 90.00
Atoms (fractional coordinates):
Mg1 0.0000 0.0000 0.0000
Mg2 0.0000 0.0000 0.5000
Mg3 0.5000 0.5000 0.0000
Pa1 0.5000 0.5000 0.5000
Ga1 0.0000 0.5000 0.2321
Ga2 0.0000 0.5000 0.7679
Ga3 0.5000 0.0000 0.2321
Ga4 0.5000 0.0000 0.7679